No. 1
Here is a geometry-optimized SmMg4Be4Zn4 structure from the Open Quantum Materials Database. Energies are from PBE-GGA.

It has space group I4/mmm (No. 139), with a = 8.7996 Å, b = 8.7996 Å, c = 5.5643 Å, α = 90.00°, β = 90.00° and γ = 90.00°. Symmetry generates all atoms from Sm at (0.0000, 0.0000, 0.0000), Mg at (0.2500, 0.2500, 0.2500), Be at (0.0000, 0.3694, 0.0000) and Zn at (0.0000, 0.2415, 0.5000).

No. 2
Here is a geometry-optimized SmMg4Be4Zn4 structure from the Open Quantum Materials Database. Energies are from PBE-GGA.

It has space group I4/mmm (No. 139), with a = 8.6907 Å, b = 8.6907 Å, c = 5.6865 Å, α = 90.00°, β = 90.00° and γ = 90.00°. Symmetry generates all atoms from Sm at (0.0000, 0.0000, 0.0000), Mg at (0.2500, 0.2500, 0.2500), Be at (0.0000, 0.1851, 0.5000) and Zn at (0.0000, 0.3581, 0.0000).

| no. | relative energy among the computed polymorphs (eV/atom) | size of the total moment (μB per cell) |
| --- | --- | --- |
| 1 | 0.206 | 0.030 |
| 2 | 0.142 | 0.014 |